VASP calculation (PBE-GGA) on a relaxed BiMoOsPt2 crystal.

Properties
For the energy above the most stable polymorph in this dataset, the calculation gives 0.000 eV/atom. The calculation puts the formation energy at 1.851 eV per atom. The crystal system is tetragonal.

abc: 4.7761 4.7761 5.2599
angles: 90.00 90.00 90.00
Last column: nearest neighbours and their distance in Å.
Space group P4/mmm (No. 123)
Symmetry-distinct sites (fractional):
Bi 0.0000 0.0000 0.0000 (multiplicity 1)  2 Mo 2.63
Mo 0.0000 0.0000 0.5000 (multiplicity 1)  4 Pt 2.39, 2 Bi 2.63
Os 0.5000 0.5000 0.0000 (multiplicity 1)  4 Bi 3.38, 8 Pt 3.55
Pt 0.0000 0.5000 0.5000 (multiplicity 2)  2 Mo 2.39